Material: Ba3Cd6AgHg2
Method: DFT, PBE-GGA
State: optimized geometry

Cell: 7.185 7.185 8.959 Å, 90.00 90.00 120.00°
Sites, in units of the cell vectors:
Ba (0.000, 0.000, 0.000)
Ba (0.333, 0.667, 0.714)
Ba (0.667, 0.333, 0.286)
Cd (0.192, 0.385, 0.354)
Cd (0.192, 0.808, 0.354)
Cd (0.385, 0.192, 0.646)
Cd (0.615, 0.808, 0.354)
Cd (0.808, 0.192, 0.646)
Cd (0.808, 0.615, 0.646)
Ag (0.000, 0.000, 0.500)
Hg (0.333, 0.667, 0.082)
Hg (0.667, 0.333, 0.918)

As for the formation energy: -184.6 meV/atom.

Material: BaCd2Ag4Hg
Method: DFT, PBE-GGA
State: optimized geometry

Cell: 10.205 10.205 10.205 Å, 27.31 27.31 27.31°
Sites, in units of the cell vectors:
Ba (0.000, 0.000, 0.000)
Cd (0.241, 0.241, 0.241)
Cd (0.759, 0.759, 0.759)
Ag (0.130, 0.130, 0.130)
Ag (0.405, 0.405, 0.405)
Ag (0.595, 0.595, 0.595)
Ag (0.870, 0.870, 0.870)
Hg (0.500, 0.500, 0.500)

As for the formation energy: -79.0 meV/atom.